(1)
Crystalline LiHfCdAu at its relaxed geometry, computed with PBE-GGA. Values from VASP.

Quantum ESPRESSO input file:
```
&SYSTEM
  ibrav = 0, nat = 16, ntyp = 4
/
ATOMIC_SPECIES
Li 6.94 Li.upf
Hf 178.49 Hf.upf
Cd 112.41 Cd.upf
Au 196.97 Au.upf
ATOMIC_POSITIONS crystal
Li 0.0000 0.0000 0.0000
Li 0.0000 0.5000 0.5000
Li 0.5000 0.0000 0.5000
Li 0.5000 0.5000 0.0000
Hf 0.2500 0.2500 0.2500
Hf 0.2500 0.7500 0.7500
Hf 0.7500 0.2500 0.7500
Hf 0.7500 0.7500 0.2500
Cd 0.2500 0.2500 0.7500
Cd 0.2500 0.7500 0.2500
Cd 0.7500 0.2500 0.2500
Cd 0.7500 0.7500 0.7500
Au 0.0000 0.0000 0.5000
Au 0.0000 0.5000 0.0000
Au 0.5000 0.0000 0.0000
Au 0.5000 0.5000 0.5000
CELL_PARAMETERS angstrom
6.5676 0.0000 0.0000
0.0000 6.5676 0.0000
0.0000 0.0000 6.5676
```

- energy above the most stable polymorph in this dataset (eV/atom) = 0.0000
- space group = F-43m, No. 216
- theoretical density (Mg/m³) = 11.6
- M_tot (μB per atom) = 0.000

(2)
Crystalline FeHgPbSe3 at its relaxed geometry, computed with PBE-GGA. Values from VASP.

Quantum ESPRESSO input file:
```
&SYSTEM
  ibrav = 0, nat = 12, ntyp = 4
/
ATOMIC_SPECIES
Fe 55.84 Fe.upf
Hg 200.59 Hg.upf
Pb 207.20 Pb.upf
Se 78.96 Se.upf
ATOMIC_POSITIONS crystal
Fe 0.0000 0.0000 0.0000
Fe 0.0000 0.0000 0.5000
Hg 0.3117 0.6883 0.7500
Hg 0.6883 0.3117 0.2500
Pb 0.3451 0.6549 0.2500
Pb 0.6549 0.3451 0.7500
Se 0.0269 0.9731 0.7500
Se 0.4077 0.5923 0.5245
Se 0.4077 0.5923 0.9755
Se 0.5923 0.4077 0.0245
Se 0.5923 0.4077 0.4755
Se 0.9731 0.0269 0.2500
CELL_PARAMETERS angstrom
1.8813 -8.3710 0.0000
1.8813 8.3710 0.0000
0.0000 0.0000 10.1861
```

- energy above the most stable polymorph in this dataset (eV/atom) = 0.0000
- space group = Cmcm, No. 63
- theoretical density (Mg/m³) = 7.3
- M_tot (μB per atom) = 0.361

(3)
Crystalline PaCoB at its relaxed geometry, computed with PBE-GGA. Values from VASP.

Quantum ESPRESSO input file:
```
&SYSTEM
  ibrav = 0, nat = 12, ntyp = 3
/
ATOMIC_SPECIES
Pa 231.04 Pa.upf
Co 58.93 Co.upf
B 10.81 B.upf
ATOMIC_POSITIONS crystal
Pa 0.0000 0.0000 0.0000
Pa 0.0000 0.5000 0.5000
Pa 0.5000 0.0000 0.5000
Pa 0.5000 0.5000 0.0000
Co 0.2500 0.2500 0.2500
Co 0.2500 0.7500 0.7500
Co 0.7500 0.2500 0.7500
Co 0.7500 0.7500 0.2500
B 0.2500 0.2500 0.7500
B 0.2500 0.7500 0.2500
B 0.7500 0.2500 0.2500
B 0.7500 0.7500 0.7500
CELL_PARAMETERS angstrom
5.9446 0.0000 0.0000
0.0000 5.9446 0.0000
0.0000 0.0000 5.9446
```

- energy above the most stable polymorph in this dataset (eV/atom) = 0.7860
- space group = F-43m, No. 216
- theoretical density (Mg/m³) = 9.5
- M_tot (μB per atom) = 0.025

(4)
Crystalline Tm3BiAs2 at its relaxed geometry, computed with PBE-GGA. Values from VASP.

Quantum ESPRESSO input file:
```
&SYSTEM
  ibrav = 0, nat = 6, ntyp = 3
/
ATOMIC_SPECIES
Tm 168.93 Tm.upf
Bi 208.98 Bi.upf
As 74.92 As.upf
ATOMIC_POSITIONS crystal
Tm 0.0000 0.0000 0.0000
Tm 0.3333 0.6667 0.3093
Tm 0.6667 0.3333 0.6907
Bi 0.0000 0.0000 0.5000
As 0.3333 0.6667 0.8419
As 0.6667 0.3333 0.1581
CELL_PARAMETERS angstrom
4.1374 0.0000 0.0000
-2.0687 3.5831 0.0000
0.0000 0.0000 10.4031
```

- total DFT energy (no corrections) (eV per atom) = -5.711
- space group = P-3m1, No. 164
- theoretical density (Mg/m³) = 9.3
- M_tot (μB per atom) = 0.000

(5)
Crystalline SmTeAs at its relaxed geometry, computed with PBE-GGA. Values from VASP.

Quantum ESPRESSO input file:
```
&SYSTEM
  ibrav = 0, nat = 6, ntyp = 3
/
ATOMIC_SPECIES
Sm 150.36 Sm.upf
Te 127.60 Te.upf
As 74.92 As.upf
ATOMIC_POSITIONS crystal
Sm 0.0000 0.0000 0.0000
Sm 0.0000 0.0000 0.5000
Te 0.3333 0.6667 0.2500
Te 0.6667 0.3333 0.7500
As 0.3333 0.6667 0.7500
As 0.6667 0.3333 0.2500
CELL_PARAMETERS angstrom
4.9460 0.0000 0.0000
-2.4730 4.2833 0.0000
0.0000 0.0000 7.5178
```

- total DFT energy (no corrections) (eV per atom) = -4.726
- space group = P6_3/mmc, No. 194
- theoretical density (Mg/m³) = 7.4
- M_tot (μB per atom) = 0.001

(6)
Crystalline AcPmHo at its relaxed geometry, computed with PBE-GGA. Values from VASP.

Quantum ESPRESSO input file:
```
&SYSTEM
  ibrav = 0, nat = 12, ntyp = 3
/
ATOMIC_SPECIES
Ac 227.00 Ac.upf
Pm 145.00 Pm.upf
Ho 164.93 Ho.upf
ATOMIC_POSITIONS crystal
Ac 0.0000 0.0000 0.0000
Ac 0.0000 0.5000 0.5000
Ac 0.5000 0.0000 0.5000
Ac 0.5000 0.5000 0.0000
Pm 0.0000 0.0000 0.5000
Pm 0.0000 0.5000 0.0000
Pm 0.5000 0.0000 0.0000
Pm 0.5000 0.5000 0.5000
Ho 0.2500 0.2500 0.2500
Ho 0.2500 0.7500 0.7500
Ho 0.7500 0.2500 0.7500
Ho 0.7500 0.7500 0.2500
CELL_PARAMETERS angstrom
8.0169 0.0000 0.0000
0.0000 8.0169 0.0000
0.0000 0.0000 8.0169
```

- energy above the most stable polymorph in this dataset (eV/atom) = 0.0000
- space group = F-43m, No. 216
- theoretical density (Mg/m³) = 6.9
- formation energy from the elements (eV per atom) = 0.656
- M_tot (μB per atom) = 0.003

(7)
Crystalline Ho2ScP3 at its relaxed geometry, computed with PBE-GGA. Values from VASP.

Quantum ESPRESSO input file:
```
&SYSTEM
  ibrav = 0, nat = 6, ntyp = 3
/
ATOMIC_SPECIES
Ho 164.93 Ho.upf
Sc 44.96 Sc.upf
P 30.97 P.upf
ATOMIC_POSITIONS crystal
Ho 0.3333 0.6667 0.3275
Ho 0.6667 0.3333 0.6725
Sc 0.0000 0.0000 0.0000
P 0.0000 0.0000 0.5000
P 0.3333 0.6667 0.8454
P 0.6667 0.3333 0.1546
CELL_PARAMETERS angstrom
3.9140 0.0000 0.0000
-1.9570 3.3896 0.0000
0.0000 0.0000 9.5559
```

- total DFT energy (no corrections) (eV per atom) = -6.847
- space group = P-3m1, No. 164
- theoretical density (Mg/m³) = 6.1
- M_tot (μB per atom) = 0.000

(8)
Crystalline PrSn2PdPt at its relaxed geometry, computed with PBE-GGA. Values from VASP.

Quantum ESPRESSO input file:
```
&SYSTEM
  ibrav = 0, nat = 10, ntyp = 4
/
ATOMIC_SPECIES
Pr 140.91 Pr.upf
Sn 118.71 Sn.upf
Pd 106.42 Pd.upf
Pt 195.08 Pt.upf
ATOMIC_POSITIONS crystal
Pr 0.2500 0.2500 0.2460
Pr 0.7500 0.7500 0.7540
Sn 0.2500 0.2500 0.8743
Sn 0.2500 0.7500 0.5000
Sn 0.7500 0.2500 0.5000
Sn 0.7500 0.7500 0.1257
Pd 0.2500 0.7500 0.0000
Pd 0.7500 0.2500 0.0000
Pt 0.2500 0.2500 0.6294
Pt 0.7500 0.7500 0.3706
CELL_PARAMETERS angstrom
4.6146 0.0000 0.0000
0.0000 4.6146 0.0000
0.0000 0.0000 10.6885
```

- total DFT energy (no corrections) (eV per atom) = -5.642
- space group = P4/nmm, No. 129
- theoretical density (Mg/m³) = 9.9
- M_tot (μB per atom) = 0.003

(9)
Crystalline TlCuReAu at its relaxed geometry, computed with PBE-GGA. Values from VASP.

Quantum ESPRESSO input file:
```
&SYSTEM
  ibrav = 0, nat = 16, ntyp = 4
/
ATOMIC_SPECIES
Tl 204.38 Tl.upf
Cu 63.55 Cu.upf
Re 186.21 Re.upf
Au 196.97 Au.upf
ATOMIC_POSITIONS crystal
Tl 0.0000 0.0000 0.0000
Tl 0.0000 0.5000 0.5000
Tl 0.5000 0.0000 0.5000
Tl 0.5000 0.5000 0.0000
Cu 0.2500 0.2500 0.2500
Cu 0.2500 0.7500 0.7500
Cu 0.7500 0.2500 0.7500
Cu 0.7500 0.7500 0.2500
Re 0.0000 0.0000 0.5000
Re 0.0000 0.5000 0.0000
Re 0.5000 0.0000 0.0000
Re 0.5000 0.5000 0.5000
Au 0.2500 0.2500 0.7500
Au 0.2500 0.7500 0.2500
Au 0.7500 0.2500 0.2500
Au 0.7500 0.7500 0.7500
CELL_PARAMETERS angstrom
6.5326 0.0000 0.0000
0.0000 6.5326 0.0000
0.0000 0.0000 6.5326
```

- energy above the most stable polymorph in this dataset (eV/atom) = 0.0904
- space group = F-43m, No. 216
- theoretical density (Mg/m³) = 15.5
- M_tot (μB per atom) = 0.596

(10)
Crystalline FeSbMoW at its relaxed geometry, computed with PBE-GGA. Values from VASP.

Quantum ESPRESSO input file:
```
&SYSTEM
  ibrav = 0, nat = 16, ntyp = 4
/
ATOMIC_SPECIES
Fe 55.84 Fe.upf
Sb 121.76 Sb.upf
Mo 95.94 Mo.upf
W 183.84 W.upf
ATOMIC_POSITIONS crystal
Fe 0.0000 0.0000 0.0000
Fe 0.0000 0.5000 0.5000
Fe 0.5000 0.0000 0.5000
Fe 0.5000 0.5000 0.0000
Sb 0.2500 0.2500 0.7500
Sb 0.2500 0.7500 0.2500
Sb 0.7500 0.2500 0.2500
Sb 0.7500 0.7500 0.7500
Mo 0.0000 0.0000 0.5000
Mo 0.0000 0.5000 0.0000
Mo 0.5000 0.0000 0.0000
Mo 0.5000 0.5000 0.5000
W 0.2500 0.2500 0.2500
W 0.2500 0.7500 0.7500
W 0.7500 0.2500 0.7500
W 0.7500 0.7500 0.2500
CELL_PARAMETERS angstrom
6.2943 0.0000 0.0000
0.0000 6.2943 0.0000
0.0000 0.0000 6.2943
```

- energy above the most stable polymorph in this dataset (eV/atom) = 0.0000
- space group = F-43m, No. 216
- theoretical density (Mg/m³) = 12.2
- M_tot (μB per atom) = 0.214

(11)
Crystalline YPu at its relaxed geometry, computed with PBE-GGA. Values from VASP.

Quantum ESPRESSO input file:
```
&SYSTEM
  ibrav = 0, nat = 8, ntyp = 2
/
ATOMIC_SPECIES
Y 88.91 Y.upf
Pu 244.00 Pu.upf
ATOMIC_POSITIONS crystal
Y 0.0000 0.0000 0.0000
Y 0.0000 0.5000 0.5000
Y 0.5000 0.0000 0.5000
Y 0.5000 0.5000 0.0000
Pu 0.0000 0.0000 0.5000
Pu 0.0000 0.5000 0.0000
Pu 0.5000 0.0000 0.0000
Pu 0.5000 0.5000 0.5000
CELL_PARAMETERS angstrom
5.7091 0.0000 0.0000
0.0000 5.7091 0.0000
0.0000 0.0000 5.7091
```

- energy above the most stable polymorph in this dataset (eV/atom) = 1.1039
- space group = Fm-3m, No. 225
- theoretical density (Mg/m³) = 11.9
- formation energy from the elements (eV per atom) = 1.227
- M_tot (μB per atom) = 3.155

(12)
Crystalline DyTeAuO at its relaxed geometry, computed with PBE-GGA. Values from VASP.

Quantum ESPRESSO input file:
```
&SYSTEM
  ibrav = 0, nat = 16, ntyp = 4
/
ATOMIC_SPECIES
Dy 162.50 Dy.upf
Te 127.60 Te.upf
Au 196.97 Au.upf
O 16.00 O.upf
ATOMIC_POSITIONS crystal
Dy 0.1033 0.2500 0.0000
Dy 0.1033 0.7500 0.5000
Dy 0.8967 0.2500 0.5000
Dy 0.8967 0.7500 0.0000
Te 0.2773 0.2500 0.5010
Te 0.2773 0.7500 0.0010
Te 0.7227 0.2500 0.0010
Te 0.7227 0.7500 0.5010
Au 0.5000 0.0000 0.0009
Au 0.5000 0.0000 0.5009
Au 0.5000 0.5000 0.0009
Au 0.5000 0.5000 0.5009
O 0.0000 0.0000 0.2499
O 0.0000 0.0000 0.7499
O 0.0000 0.5000 0.2499
O 0.0000 0.5000 0.7499
CELL_PARAMETERS angstrom
10.3460 0.0000 0.0000
0.0000 5.6986 0.0000
0.0000 0.0000 5.7083
```

- energy above the most stable polymorph in this dataset (eV/atom) = 0.0000
- space group = Aem2, No. 39
- theoretical density (Mg/m³) = 9.9
- M_tot (μB per atom) = 0.000